1:
BeTeIr2: optimized geometry, PBE.

Summary:
spin magnetization = 0.0 μB/f.u.

Cell: 8.4668 2.9750 5.0076 Å, 90.00 104.29 90.00°
With the nearest neighbours (Å) after each atom.
Space group C2/m (No. 12)
One atom of each set of equivalent atoms:
Be 0.0000 0.0000 0.0000 [2 per cell]  6 Ir 2.49-2.77
Te 0.0000 0.5000 0.5000 [2 per cell]  6 Ir 2.66-2.78, 4 Be 2.91, 2 Te 2.97
Ir 0.2313 0.5000 0.2240 [4 per cell]  3 Be 2.49-2.77, 3 Te 2.66-2.78, 2 Ir 2.77

---

2:
BeTeIr2: optimized geometry, PBE.

Summary:
spin magnetization = 0.0 μB/f.u.

Cell: 4.1151 4.1151 7.1528 Å, 90.00 90.00 90.00°
With the nearest neighbours (Å) after each atom.
Space group I4/mmm (No. 139)
One atom of each set of equivalent atoms:
Be 0.0000 0.0000 0.0000 [2 per cell]  8 Ir 2.73, 4 Te 2.91
Te 0.0000 0.0000 0.5000 [2 per cell]  8 Ir 2.73, 4 Be 2.91
Ir 0.0000 0.5000 0.2500 [4 per cell]  4 Be 2.73, 4 Te 2.73, 4 Ir 2.91

---

Of them, 2 has the lowest stability.